(1)
VASP calculation (PBE) on NaSr2CaCu after structural relaxation.

Results
**Crystal system**: tetragonal
**M_tot**: 0.000 μB/f.u.
**DFT total energy**: -10.22 eV per cell

abc: 6.0020 6.0020 5.7291
angles: 90.00 90.00 90.00
Closest atoms and distances in Å follow each position.
Space group P4/mmm (No. 123)
Asymmetric unit:
Na (0.0000, 0.0000, 0.0000) (multiplicity 1)  2 Cu 2.86
Sr (0.0000, 0.5000, 0.5000) (multiplicity 2)  2 Cu 3.00
Ca (0.5000, 0.5000, 0.0000) (multiplicity 1)  8 Sr 4.15, 4 Na 4.24
Cu (0.0000, 0.0000, 0.5000) (multiplicity 1)  2 Na 2.86, 4 Sr 3.00

(2)
VASP calculation (PBE) on NaSr2CaCu after structural relaxation.

Results
**Crystal system**: tetragonal
**M_tot**: 0.000 μB/f.u.
**DFT total energy**: -10.79 eV per cell

abc: 6.0423 6.0423 5.7487
angles: 90.00 90.00 90.00
Closest atoms and distances in Å follow each position.
Space group P4/mmm (No. 123)
Asymmetric unit:
Na (0.0000, 0.0000, 0.0000) (multiplicity 1)  8 Sr 4.17, 4 Ca 4.27
Sr (0.0000, 0.5000, 0.5000) (multiplicity 2)  2 Cu 3.02
Ca (0.5000, 0.5000, 0.0000) (multiplicity 1)  2 Cu 2.87
Cu (0.5000, 0.5000, 0.5000) (multiplicity 1)  2 Ca 2.87, 4 Sr 3.02

(3)
VASP calculation (PBE) on NaCa2CuTc after structural relaxation.

Results
**Crystal system**: tetragonal
**M_tot**: 2.318 μB/f.u.
**DFT total energy**: -12.91 eV per cell

abc: 5.5995 5.5995 4.8695
angles: 90.00 90.00 90.00
Closest atoms and distances in Å follow each position.
Space group P4/mmm (No. 123)
Asymmetric unit:
Na (0.0000, 0.0000, 0.0000) (multiplicity 1)  2 Tc 2.43
Ca (0.0000, 0.5000, 0.0000) (multiplicity 2)  2 Na 2.80
Cu (0.5000, 0.5000, 0.5000) (multiplicity 1)  8 Ca 3.71, 4 Tc 3.96
Tc (0.0000, 0.0000, 0.5000) (multiplicity 1)  2 Na 2.43

(4)
VASP calculation (PBE) on NaCaZn2Cu after structural relaxation.

Results
**Crystal system**: tetragonal
**M_tot**: 0.000 μB/f.u.
**DFT total energy**: -5.03 eV per cell

abc: 5.7318 5.7318 6.4441
angles: 90.00 90.00 90.00
Closest atoms and distances in Å follow each position.
Space group P4/mmm (No. 123)
Asymmetric unit:
Na (0.0000, 0.0000, 0.0000) (multiplicity 1)  2 Ca 3.22
Ca (0.0000, 0.0000, 0.5000) (multiplicity 1)  4 Zn 2.87
Zn (0.0000, 0.5000, 0.5000) (multiplicity 2)  2 Ca 2.87
Cu (0.5000, 0.5000, 0.0000) (multiplicity 1)  4 Na 4.05, 8 Zn 4.31

(5)
VASP calculation (PBE) on CaNbCu3 after structural relaxation.

Results
**Crystal system**: cubic
**M_tot**: 0.000 μB/f.u.
**DFT total energy**: -20.66 eV per cell

abc: 4.8338 4.8338 4.8338
angles: 90.00 90.00 90.00
Closest atoms and distances in Å follow each position.
Space group Pm-3m (No. 221)
Asymmetric unit:
Ca (0.0000, 0.0000, 0.0000) (multiplicity 1)  12 Cu 3.42
Nb (0.5000, 0.5000, 0.5000) (multiplicity 1)  6 Cu 2.42
Cu (0.0000, 0.5000, 0.5000) (multiplicity 3)  2 Nb 2.42

(6)
VASP calculation (PBE) on CaNb2Cu2 after structural relaxation.

Results
**Crystal system**: tetragonal
**M_tot**: 0.000 μB/f.u.
**DFT total energy**: -56.96 eV per cell

abc: 7.7885 7.7885 2.9469
angles: 90.00 90.00 90.00
Closest atoms and distances in Å follow each position.
Space group P4/mbm (No. 127)
Asymmetric unit:
Ca (0.0000, 0.0000, 0.0000) (multiplicity 2)  2 Ca 2.95, 4 Cu 3.09, 8 Nb 3.25
Nb (0.1672, 0.3328, 0.5000) (multiplicity 4)  6 Cu 2.72-2.74, 2 Nb 2.95
Cu (0.1228, 0.6228, 0.0000) (multiplicity 4)  3 Cu 2.70-2.95, 6 Nb 2.72-2.74